Below is a relaxed HfO3 crystal, with properties calculated at the GGA-PBE level.

Computed properties:
Uncorrected energy (eV per atom): -8.36
E above lowest polymorph (meV/atom): 214
SG: C2/m (12)

Cell lengths 5.891, 5.891, 3.530 Å; angles 100.95, 100.95, 124.74 degrees
Atoms (fractional coordinates):
Hf1 0.143 0.857 0.000
Hf2 0.857 0.143 0.000
O1 0.084 0.461 0.635
O2 0.224 0.224 0.979
O3 0.461 0.084 0.635
O4 0.539 0.916 0.365
O5 0.776 0.776 0.021
O6 0.916 0.539 0.365

=====

Below is a relaxed Hf4O crystal, with properties calculated at the GGA-PBE level.

Computed properties:
Uncorrected energy (eV per atom): -10.05
SG: Fdd2 (43)

Cell lengths 6.449, 6.015, 7.549 Å; angles 55.40, 50.14, 74.46 degrees
Atoms (fractional coordinates):
Hf1 0.204 0.287 0.966
Hf2 0.210 0.790 0.456
Hf3 0.284 0.707 0.046
Hf4 0.287 0.204 0.543
Hf5 0.706 0.794 0.460
Hf6 0.707 0.284 0.963
Hf7 0.790 0.210 0.544
Hf8 0.794 0.706 0.040
O1 0.003 0.003 0.997
O2 0.253 0.253 0.247

=====

Below is a relaxed HfO2 crystal, with properties calculated at the GGA-PBE level.

Computed properties:
Uncorrected energy (eV per atom): -6.56
SG: Fd-3m (227)

Cell lengths 4.479, 4.479, 4.479 Å; angles 60.00, 60.00, 60.00 degrees
Atoms (fractional coordinates):
Hf1 0.125 0.125 0.125
Hf2 0.875 0.875 0.875
O1 0.000 0.500 0.500
O2 0.500 0.000 0.500
O3 0.500 0.500 0.000
O4 0.500 0.500 0.500

=====

Below is a relaxed Hf4O11 crystal, with properties calculated at the GGA-PBE level.

Computed properties:
Uncorrected energy (eV per atom): -8.69
E above lowest polymorph (meV/atom): 73
SG: P1 (1)

Cell lengths 3.402, 6.176, 9.302 Å; angles 80.95, 88.85, 77.59 degrees
Atoms (fractional coordinates):
Hf1 0.000 0.000 0.000
Hf2 0.061 0.563 0.844
Hf3 0.286 0.506 0.482
Hf4 0.611 0.956 0.343
O1 0.072 0.076 0.195
O2 0.145 0.855 0.461
O3 0.249 0.845 0.832
O4 0.442 0.213 0.892
O5 0.492 0.209 0.445
O6 0.572 0.828 0.106
O7 0.601 0.585 0.686
O8 0.604 0.378 0.971
O9 0.768 0.591 0.371
O10 0.914 0.664 0.056
O11 0.941 0.384 0.674

=====

Below is a relaxed HfO3 crystal, with properties calculated at the GGA-PBE level.

Computed properties:
Uncorrected energy (eV per atom): -8.43
E above lowest polymorph (meV/atom): 142
SG: P1 (1)

Cell lengths 5.471, 6.117, 6.627 Å; angles 89.39, 66.28, 65.67 degrees
Atoms (fractional coordinates):
Hf1 0.000 0.000 0.000
Hf2 0.178 0.491 0.125
Hf3 0.468 0.024 0.546
Hf4 0.757 0.448 0.609
O1 0.277 0.328 0.384
O2 0.324 0.762 0.111
O3 0.363 0.762 0.700
O4 0.383 0.339 0.747
O5 0.425 0.134 0.880
O6 0.517 0.076 0.225
O7 0.578 0.529 0.969
O8 0.826 0.346 0.251
O9 0.867 0.710 0.452
O10 0.888 0.128 0.366
O11 0.898 0.729 0.028
O12 0.995 0.175 0.735

=====

Below is a relaxed Hf4O11 crystal, with properties calculated at the GGA-PBE level.

Computed properties:
Uncorrected energy (eV per atom): -8.76
E above lowest polymorph (meV/atom): 0
SG: P1 (1)

Cell lengths 3.426, 6.172, 8.887 Å; angles 99.51, 98.32, 100.49 degrees
Atoms (fractional coordinates):
Hf1 0.000 0.000 0.000
Hf2 0.080 0.487 0.473
Hf3 0.453 0.090 0.670
Hf4 0.625 0.859 0.316
O1 0.003 0.138 0.787
O2 0.069 0.834 0.196
O3 0.167 0.833 0.491
O4 0.371 0.874 0.851
O5 0.394 0.423 0.677
O6 0.520 0.527 0.336
O7 0.553 0.720 0.937
O8 0.572 0.118 0.150
O9 0.673 0.598 0.629
O10 0.755 0.162 0.478
O11 0.799 0.285 0.072

=====

Below is a relaxed HfO4 crystal, with properties calculated at the GGA-PBE level.

Computed properties:
Uncorrected energy (eV per atom): -7.39
E above lowest polymorph (meV/atom): 342
SG: C2/m (12)

Cell lengths 4.261, 4.261, 4.193 Å; angles 91.48, 91.48, 48.89 degrees
Atoms (fractional coordinates):
Hf1 0.000 0.000 0.000
O1 0.091 0.091 0.506
O2 0.358 0.358 0.987
O3 0.642 0.642 0.013
O4 0.909 0.909 0.494

=====

Below is a relaxed Hf6O crystal, with properties calculated at the GGA-PBE level.

Computed properties:
Uncorrected energy (eV per atom): -10.05
SG: R-3 (148)

Cell lengths 6.031, 6.031, 6.031 Å; angles 54.79, 54.79, 54.79 degrees
Atoms (fractional coordinates):
Hf1 0.082 0.414 0.746
Hf2 0.254 0.918 0.586
Hf3 0.414 0.746 0.082
Hf4 0.586 0.254 0.918
Hf5 0.746 0.082 0.414
Hf6 0.918 0.586 0.254
O1 0.500 0.500 0.500

=====

Below is a relaxed Hf2O5 crystal, with properties calculated at the GGA-PBE level.

Computed properties:
Uncorrected energy (eV per atom): -8.97
SG: Cm (8)

Cell lengths 6.158, 6.158, 3.361 Å; angles 101.03, 101.03, 124.61 degrees
Atoms (fractional coordinates):
Hf1 0.177 0.823 0.000
Hf2 0.823 0.177 0.000
O1 0.089 0.427 0.694
O2 0.427 0.089 0.694
O3 0.573 0.912 0.313
O4 0.912 0.573 0.313
O5 0.985 0.985 0.010

=====

Below is a relaxed HfO2 crystal, with properties calculated at the GGA-PBE level.

Computed properties:
Uncorrected energy (eV per atom): -10.15
SG: Pbca (61)

Cell lengths 5.039, 9.980, 5.213 Å; angles 90.00, 90.00, 90.00 degrees
Atoms (fractional coordinates):
Hf1 0.245 0.115 0.035
Hf2 0.245 0.385 0.535
Hf3 0.255 0.615 0.035
Hf4 0.255 0.885 0.535
Hf5 0.745 0.115 0.465
Hf6 0.745 0.385 0.965
Hf7 0.755 0.615 0.465
Hf8 0.755 0.885 0.965
O1 0.002 0.023 0.738
O2 0.002 0.477 0.238
O3 0.129 0.710 0.375
O4 0.129 0.790 0.875
O5 0.371 0.210 0.375
O6 0.371 0.290 0.875
O7 0.498 0.523 0.738
O8 0.498 0.977 0.238
O9 0.502 0.023 0.762
O10 0.502 0.477 0.262
O11 0.629 0.710 0.125
O12 0.629 0.790 0.625
O13 0.871 0.210 0.125
O14 0.871 0.290 0.625
O15 0.998 0.523 0.762
O16 0.998 0.977 0.262

=====

Below is a relaxed Hf4O11 crystal, with properties calculated at the GGA-PBE level.

Computed properties:
Uncorrected energy (eV per atom): -8.69
E above lowest polymorph (meV/atom): 71
SG: P1 (1)

Cell lengths 3.338, 6.251, 8.686 Å; angles 97.42, 96.45, 95.13 degrees
Atoms (fractional coordinates):
Hf1 0.000 0.000 0.000
Hf2 0.161 0.430 0.878
Hf3 0.337 0.497 0.487
Hf4 0.823 0.909 0.388
O1 0.032 0.209 0.453
O2 0.221 0.117 0.824
O3 0.264 0.849 0.202
O4 0.361 0.842 0.512
O5 0.473 0.795 0.894
O6 0.538 0.049 0.179
O7 0.619 0.380 0.703
O8 0.688 0.633 0.986
O9 0.795 0.563 0.361
O10 0.895 0.577 0.676
O11 0.945 0.312 0.056

=====

Below is a relaxed Hf4O11 crystal, with properties calculated at the GGA-PBE level.

Computed properties:
Uncorrected energy (eV per atom): -8.74
E above lowest polymorph (meV/atom): 21
SG: P1 (1)

Cell lengths 3.245, 6.496, 8.556 Å; angles 97.88, 98.12, 94.39 degrees
Atoms (fractional coordinates):
Hf1 0.000 0.000 0.000
Hf2 0.094 0.987 0.576
Hf3 0.479 0.569 0.064
Hf4 0.604 0.407 0.511
O1 0.040 0.579 0.240
O2 0.042 0.412 0.339
O3 0.150 0.320 0.633
O4 0.395 0.262 0.038
O5 0.433 0.929 0.807
O6 0.542 0.904 0.123
O7 0.551 0.088 0.451
O8 0.577 0.743 0.500
O9 0.735 0.099 0.775
O10 0.857 0.691 0.642
O11 0.947 0.650 0.943

=====

Below is a relaxed HfO2 crystal, with properties calculated at the GGA-PBE level.

Computed properties:
Uncorrected energy (eV per atom): -10.15
SG: Pbcn (60)

Cell lengths 4.931, 5.656, 5.141 Å; angles 90.00, 90.00, 90.00 degrees
Atoms (fractional coordinates):
Hf1 0.000 0.186 0.250
Hf2 0.000 0.814 0.750
Hf3 0.500 0.314 0.750
Hf4 0.500 0.686 0.250
O1 0.228 0.099 0.573
O2 0.228 0.901 0.073
O3 0.272 0.401 0.073
O4 0.272 0.599 0.573
O5 0.728 0.401 0.427
O6 0.728 0.599 0.927
O7 0.772 0.099 0.927
O8 0.772 0.901 0.427

=====

Below is a relaxed HfO4 crystal, with properties calculated at the GGA-PBE level.

Computed properties:
Uncorrected energy (eV per atom): -7.73
E above lowest polymorph (meV/atom): 0
SG: P2/c (13)

Cell lengths 3.286, 6.887, 6.094 Å; angles 90.00, 121.36, 90.00 degrees
Atoms (fractional coordinates):
Hf1 0.000 0.080 0.250
Hf2 0.000 0.920 0.750
O1 0.257 0.142 0.008
O2 0.257 0.858 0.508
O3 0.366 0.444 0.511
O4 0.366 0.556 0.011
O5 0.634 0.444 0.989
O6 0.634 0.556 0.489
O7 0.743 0.142 0.492
O8 0.743 0.858 0.992

=====

Below is a relaxed HfO3 crystal, with properties calculated at the GGA-PBE level.

Computed properties:
Uncorrected energy (eV per atom): -8.26
E above lowest polymorph (meV/atom): 311
SG: C2 (5)

Cell lengths 6.295, 6.295, 3.351 Å; angles 98.49, 98.49, 130.40 degrees
Atoms (fractional coordinates):
Hf1 0.000 0.000 0.000
Hf2 0.768 0.232 0.500
O1 0.072 0.384 0.041
O2 0.298 0.246 0.651
O3 0.353 0.079 0.401
O4 0.616 0.928 0.959
O5 0.754 0.702 0.349
O6 0.921 0.647 0.599

=====

Below is a relaxed Hf31OsO64 crystal, with properties calculated at the GGA-PBE level.

Computed properties:
Uncorrected energy (eV per atom): -10.06
SG: P1 (1)

Cell lengths 10.017, 10.061, 10.429 Å; angles 90.09, 90.03, 90.01 degrees
Atoms (fractional coordinates):
Hf1 0.000 0.000 0.000
Hf2 0.000 0.000 0.500
Hf3 0.000 0.250 0.283
Hf4 0.000 0.251 0.784
Hf5 0.000 0.501 0.499
Hf6 0.000 0.751 0.282
Hf7 0.001 0.750 0.783
Hf8 0.002 0.501 0.998
Hf9 0.231 0.252 0.532
Hf10 0.232 0.002 0.750
Hf11 0.232 0.501 0.250
Hf12 0.233 0.000 0.250
Hf13 0.233 0.251 0.034
Hf14 0.233 0.750 0.031
Hf15 0.234 0.750 0.534
Hf16 0.497 0.499 0.998
Hf17 0.497 0.747 0.781
Hf18 0.500 0.000 0.999
Hf19 0.500 0.001 0.501
Hf20 0.500 0.501 0.501
Hf21 0.500 0.751 0.283
Hf22 0.501 0.251 0.283
Hf23 0.501 0.251 0.783
Hf24 0.732 0.000 0.249
Hf25 0.732 0.251 0.033
Hf26 0.732 0.501 0.249
Hf27 0.732 0.749 0.032
Hf28 0.732 0.999 0.750
Hf29 0.733 0.250 0.533
Hf30 0.733 0.500 0.750
Hf31 0.733 0.751 0.533
Os1 0.229 0.495 0.745
O1 0.093 0.376 0.638
O2 0.095 0.126 0.648
O3 0.095 0.375 0.135
O4 0.095 0.625 0.146
O5 0.095 0.874 0.634
O6 0.096 0.125 0.149
O7 0.096 0.875 0.133
O8 0.099 0.622 0.649
O9 0.136 0.126 0.900
O10 0.136 0.626 0.398
O11 0.137 0.126 0.399
O12 0.137 0.376 0.385
O13 0.137 0.875 0.883
O14 0.137 0.876 0.384
O15 0.140 0.377 0.885
O16 0.141 0.624 0.893
O17 0.330 0.320 0.202
O18 0.330 0.331 0.700
O19 0.330 0.569 0.084
O20 0.330 0.818 0.200
O21 0.331 0.069 0.082
O22 0.332 0.076 0.584
O23 0.332 0.573 0.587
O24 0.332 0.826 0.699
O25 0.397 0.567 0.833
O26 0.401 0.072 0.832
O27 0.401 0.570 0.335
O28 0.402 0.069 0.333
O29 0.402 0.320 0.452
O30 0.402 0.820 0.949
O31 0.402 0.821 0.450
O32 0.405 0.316 0.952
O33 0.595 0.375 0.134
O34 0.595 0.625 0.149
O35 0.596 0.125 0.149
O36 0.596 0.125 0.650
O37 0.596 0.375 0.634
O38 0.596 0.875 0.133
O39 0.596 0.875 0.633
O40 0.598 0.625 0.649
O41 0.633 0.623 0.898
O42 0.636 0.873 0.883
O43 0.637 0.125 0.399
O44 0.637 0.125 0.898
O45 0.637 0.375 0.385
O46 0.637 0.625 0.399
O47 0.637 0.875 0.383
O48 0.638 0.374 0.884
O49 0.829 0.318 0.202
O50 0.830 0.068 0.582
O51 0.830 0.069 0.082
O52 0.830 0.318 0.702
O53 0.830 0.567 0.081
O54 0.830 0.818 0.200
O55 0.831 0.569 0.582
O56 0.831 0.818 0.700
O57 0.902 0.570 0.833
O58 0.903 0.068 0.332
O59 0.903 0.068 0.832
O60 0.903 0.568 0.331
O61 0.903 0.817 0.950
O62 0.903 0.819 0.450
O63 0.904 0.318 0.452
O64 0.904 0.319 0.952

=====

Below is a relaxed HfPaPO crystal, with properties calculated at the GGA-PBE level.

Computed properties:
Uncorrected energy (eV per atom): -8.76
E above lowest polymorph (meV/atom): 139
SG: Pmc2_1 (26)

Cell lengths 3.872, 6.072, 6.543 Å; angles 90.00, 90.00, 90.00 degrees
Atoms (fractional coordinates):
Hf1 0.000 0.179 0.000
Hf2 0.000 0.821 0.500
Pa1 0.500 0.294 0.592
Pa2 0.500 0.706 0.092
P1 0.000 0.445 0.306
P2 0.000 0.555 0.806
O1 0.500 0.069 0.945
O2 0.500 0.931 0.445